Record 1
MgTaIr2: optimized geometry, GGA-PBE.

a b c (Å): 2.9722 3.5402 6.0208
angles (deg): 90.00 90.00 90.00
With the nearest neighbours (Å) after each atom.
Fractional coordinates of all 4 atoms:
Mg  0.0000  0.0000  0.0000  8 Ir 2.77, 2 Mg 2.97, 2 Ta 3.01
Ta  0.0000  0.0000  0.5000  8 Ir 2.75, 2 Ta 2.97, 2 Mg 3.01
Ir  0.5000  0.5000  0.2531  4 Ta 2.75, 4 Mg 2.77, 4 Ir 2.97-3.05
Ir  0.5000  0.5000  0.7469  4 Ta 2.75, 4 Mg 2.77, 4 Ir 2.97-3.05

Output
Energy = -33.4 eV for the cell shown
M_tot = 0.000 Bohr magnetons per cell
SG = Pmmm (47)
Calculated volume = 63.35 Å³/f.u.

Record 2
KTlZnHg: optimized geometry, GGA-PBE.

a b c (Å): 5.4679 5.4679 5.4679
angles (deg): 60.00 60.00 60.00
With the nearest neighbours (Å) after each atom.
Fractional coordinates of all 4 atoms:
K  0.0000  0.0000  0.0000  4 Hg 3.35, 4 Zn 3.35
Tl  0.5000  0.5000  0.5000  4 Hg 3.35, 4 Zn 3.35
Zn  0.7500  0.7500  0.7500  4 Tl 3.35, 4 K 3.35
Hg  0.2500  0.2500  0.2500  4 Tl 3.35, 4 K 3.35

Output
Energy = -5.0 eV for the cell shown
M_tot = 0.000 Bohr magnetons per cell
SG = F-43m (216)
Calculated volume = 115.60 Å³/f.u.

Record 3
Y6VSn10: optimized geometry, GGA-PBE.

a b c (Å): 9.1259 9.1259 6.1650
angles (deg): 90.00 90.00 120.00
With the nearest neighbours (Å) after each atom.
Fractional coordinates of all 17 atoms:
Y  0.0000  0.3913  0.2534  8 Sn 3.12-3.48
Y  0.0000  0.6087  0.7466  8 Sn 3.12-3.48
Y  0.3913  0.0000  0.2534  8 Sn 3.12-3.48
Y  0.3913  0.3913  0.7466  8 Sn 3.12-3.48
Y  0.6087  0.0000  0.7466  8 Sn 3.12-3.48
Y  0.6087  0.6087  0.2534  8 Sn 3.12-3.48
V  0.0000  0.0000  0.5000  6 Sn 2.72
Sn  0.0000  0.2283  0.7828  1 V 2.72
Sn  0.0000  0.7717  0.2172  1 V 2.72
Sn  0.2283  0.0000  0.7828  1 V 2.72
Sn  0.2283  0.2283  0.2172  1 V 2.72
Sn  0.3333  0.6667  0.0000  2 Sn 3.08, 6 Y 3.22
Sn  0.3333  0.6667  0.5000  2 Sn 3.08, 6 Y 3.20
Sn  0.6667  0.3333  0.0000  2 Sn 3.08, 6 Y 3.22
Sn  0.6667  0.3333  0.5000  2 Sn 3.08, 6 Y 3.20
Sn  0.7717  0.0000  0.2172  1 V 2.72
Sn  0.7717  0.7717  0.7828  1 V 2.72

Output
Energy = -96.0 eV for the cell shown
M_tot = 0.000 Bohr magnetons per cell
SG = P-31m (162)
Calculated volume = 444.65 Å³/f.u.

Record 4
Sr14CaMg: optimized geometry, GGA-PBE.

a b c (Å): 8.4325 8.4325 11.6115
angles (deg): 90.00 90.00 90.15
With the nearest neighbours (Å) after each atom.
Fractional coordinates of all 16 atoms:
Sr  0.0000  0.0000  0.0000  12 Sr 4.22-4.24
Sr  0.0000  0.5000  0.0000  12 Sr 4.22-4.27
Sr  0.0000  0.5000  0.5000  8 Sr 4.06, 2 Ca 4.22, 2 Mg 4.22
Sr  0.2453  0.2453  0.2628  1 Mg 4.01, 10 Sr 4.06-4.30, 1 Ca 4.10
Sr  0.2453  0.2453  0.7372  1 Mg 4.01, 10 Sr 4.06-4.30, 1 Ca 4.10
Sr  0.2470  0.7530  0.2623  1 Mg 4.04, 10 Sr 4.06-4.29, 1 Ca 4.09
Sr  0.2470  0.7530  0.7377  1 Mg 4.04, 10 Sr 4.06-4.29, 1 Ca 4.09
Sr  0.5000  0.0000  0.0000  12 Sr 4.22-4.27
Sr  0.5000  0.0000  0.5000  8 Sr 4.06, 2 Ca 4.22, 2 Mg 4.22
Sr  0.5000  0.5000  0.0000  12 Sr 4.22-4.30
Sr  0.7530  0.2470  0.2623  1 Mg 4.04, 10 Sr 4.06-4.29, 1 Ca 4.09
Sr  0.7530  0.2470  0.7377  1 Mg 4.04, 10 Sr 4.06-4.29, 1 Ca 4.09
Sr  0.7547  0.7547  0.2628  1 Mg 4.01, 10 Sr 4.06-4.30, 1 Ca 4.10
Sr  0.7547  0.7547  0.7372  1 Mg 4.01, 10 Sr 4.06-4.30, 1 Ca 4.10
Ca  0.5000  0.5000  0.5000  12 Sr 4.09-4.22
Mg  0.0000  0.0000  0.5000  12 Sr 4.01-4.22

Output
Energy = -26.9 eV for the cell shown
M_tot = 0.000 Bohr magnetons per cell
SG = Cmmm (65)
Calculated volume = 825.66 Å³/f.u.

Record 5
Li2Zn5Au4: optimized geometry, GGA-PBE.

a b c (Å): 7.2754 2.8526 8.5053
angles (deg): 90.00 90.03 90.00
With the nearest neighbours (Å) after each atom.
Fractional coordinates of all 11 atoms:
Li  0.0757  0.0000  0.1258  1 Li 2.41, 2 Zn 2.54-2.55
Li  0.9243  0.0000  0.8742  1 Li 2.41, 2 Zn 2.54-2.55
Zn  0.1258  0.0000  0.6307  1 Li 2.54, 4 Au 2.76-2.77
Zn  0.4260  0.0000  0.1467  1 Li 2.55, 3 Zn 2.72-2.85, 4 Au 2.76-2.77
Zn  0.5000  0.0000  0.5000  4 Au 2.70, 4 Zn 2.85-2.94
Zn  0.5740  0.0000  0.8533  1 Li 2.55, 3 Zn 2.72-2.85, 4 Au 2.76-2.77
Zn  0.8742  0.0000  0.3693  1 Li 2.54, 4 Au 2.76-2.77
Au  0.2257  0.5000  0.3668  8 Zn 2.70-2.93, 2 Li 2.72, 2 Au 2.85
Au  0.2524  0.5000  0.8876  6 Zn 2.76-2.91, 4 Li 2.78-2.79, 2 Au 2.85
Au  0.7476  0.5000  0.1124  6 Zn 2.76-2.91, 4 Li 2.78-2.79, 2 Au 2.85
Au  0.7743  0.5000  0.6332  8 Zn 2.70-2.93, 2 Li 2.72, 2 Au 2.85

Output
Energy = -26.2 eV for the cell shown
M_tot = 0.000 Bohr magnetons per cell
SG = P2/m (10)
Calculated volume = 176.52 Å³/f.u.

Record 6
CoIr2W: optimized geometry, GGA-PBE.

a b c (Å): 3.2369 3.2369 5.4507
angles (deg): 90.00 90.00 90.00
With the nearest neighbours (Å) after each atom.
Fractional coordinates of all 4 atoms:
Co  0.0000  0.0000  0.0000  6 Ir 2.59-2.75, 4 W 2.63
Ir  0.0000  0.0000  0.5052  4 W 2.69, 2 Co 2.70-2.75, 4 Ir 2.76
Ir  0.5000  0.5000  0.2218  1 W 2.50, 4 Co 2.59, 4 Ir 2.76
W  0.5000  0.5000  0.7639  5 Ir 2.50-2.69, 4 Co 2.63

Output
Energy = -37.2 eV for the cell shown
M_tot = 0.005 Bohr magnetons per cell
SG = P4mm (99)
Calculated volume = 57.11 Å³/f.u.

Record 7
BaCa2BiAs: optimized geometry, GGA-PBE.

a b c (Å): 5.3477 5.3477 7.2066
angles (deg): 90.00 90.00 90.00
With the nearest neighbours (Å) after each atom.
Fractional coordinates of all 5 atoms:
Ba  0.0000  0.0000  0.0000  1 As 3.17
Ca  0.0000  0.5000  0.4287  2 As 2.84
Ca  0.5000  0.0000  0.4287  2 As 2.84
Bi  0.5000  0.5000  0.1468  4 Ca 3.36
As  0.0000  0.0000  0.5605  4 Ca 2.84, 1 Ba 3.17

Output
Energy = -19.3 eV for the cell shown
M_tot = 0.000 Bohr magnetons per cell
SG = P4mm (99)
Calculated volume = 206.09 Å³/f.u.

Record 8
GeTe4As: optimized geometry, GGA-PBE.

a b c (Å): 7.4154 7.4154 6.3793
angles (deg): 105.47 105.47 31.66
With the nearest neighbours (Å) after each atom.
Fractional coordinates of all 6 atoms:
Ge  0.0000  0.0000  0.0000  6 Te 2.85-2.87
Te  0.1307  0.1307  0.4285  1 Ge 2.85, 2 As 2.87
Te  0.3702  0.3702  0.0739  1 As 2.83, 2 Ge 2.87
Te  0.6298  0.6298  0.9261  1 As 2.83, 2 Ge 2.87
Te  0.8693  0.8693  0.5715  1 Ge 2.85, 2 As 2.87
As  0.5000  0.5000  0.5000  6 Te 2.83-2.87

Output
Formation energy without anion corrections = 0.07 eV per atom
M_tot = 0.000 Bohr magnetons per cell
SG = C2/m (12)
Calculated volume = 176.90 Å³/f.u.

Record 9
Sm4GdS5: optimized geometry, GGA-PBE.

a b c (Å): 10.5545 10.5545 10.5545
angles (deg): 158.07 148.94 38.35
With the nearest neighbours (Å) after each atom.
Fractional coordinates of all 10 atoms:
Sm  0.1004  0.1004  0.0000  6 S 2.83-2.84
Sm  0.3007  0.3007  0.0000  6 S 2.83-2.84
Sm  0.6993  0.6993  0.0000  6 S 2.83-2.84
Sm  0.8996  0.8996  0.0000  6 S 2.83-2.84
Gd  0.5000  0.5000  0.0000  6 S 2.81-2.83
S  0.0000  0.5000  0.5000  2 Gd 2.83, 4 Sm 2.84
S  0.2005  0.7005  0.5000  6 Sm 2.83
S  0.4017  0.9017  0.5000  2 Gd 2.81, 4 Sm 2.83-2.84
S  0.5983  0.0983  0.5000  2 Gd 2.81, 4 Sm 2.83-2.84
S  0.7995  0.2995  0.5000  6 Sm 2.83

Output
Formation energy without anion corrections = -2.04 eV per atom
M_tot = 6.745 Bohr magnetons per cell
SG = Immm (71)
Calculated volume = 226.24 Å³/f.u.

Record 10
BaTa2Ru: optimized geometry, GGA-PBE.

a b c (Å): 5.3755 5.3755 6.1680
angles (deg): 105.18 105.18 35.79
With the nearest neighbours (Å) after each atom.
Fractional coordinates of all 4 atoms:
Ba  0.0000  0.0000  0.0000  2 Ba 3.30, 2 Ta 3.44, 4 Ru 3.50
Ta  0.1958  0.1958  0.6269  2 Ru 2.55, 2 Ta 2.71
Ta  0.8042  0.8042  0.3731  2 Ru 2.55, 2 Ta 2.71
Ru  0.5000  0.5000  0.5000  4 Ta 2.55

Output
Energy = -32.5 eV for the cell shown
M_tot = 0.000 Bohr magnetons per cell
SG = C2/m (12)
Calculated volume = 100.21 Å³/f.u.